# V3RhC (GGA-PBE, relaxed)
data_V3RhC
_space_group_name_H-M_alt 'P 1'
_space_group_IT_number 1
_space_group_name_Hall 'P 1'
_cell_length_a 4.064
_cell_length_b 5.003
_cell_length_c 7.358
_cell_angle_alpha 113.68
_cell_angle_beta 90.00
_cell_angle_gamma 113.96
loop_
_atom_site_label
_atom_site_type_symbol
_atom_site_fract_x
_atom_site_fract_y
_atom_site_fract_z
V1 V 0.884 0.769 0.805
V2 V 0.869 0.738 0.343
V3 V 0.116 0.231 0.195
V4 V 0.635 0.270 0.932
V5 V 0.365 0.730 0.068
V6 V 0.131 0.262 0.657
C1 C 0.122 0.245 0.926
C2 C 0.878 0.755 0.074
Rh1 Rh 0.372 0.745 0.557
Rh2 Rh 0.628 0.255 0.443
# - calculated formation energy (meV/atom) = -353
# - space-group type = C2/m, No. 12
# - density of states at the Fermi level (states/eV/atom) = 1.16
# - E above lowest polymorph (eV per formula unit) = 0.00
# - calculated volume (A^3/atom) = 12.28
# - total magnetization (μB/cell) = 0.0